No. 1
Cu4Ag5 | PBE-GGA | optimized geometry

Values from the calculation:
ρ in kg/m3: 9578
Formation energy in eV/atom: 0.10
Space-group type: C2/m
Polymorph energy (0 for the lowest one) in kJ/mol of atoms: 5.76

Cell lengths 4.7503, 4.7503, 8.2687 Å; angles 104.07, 104.07, 49.94 degrees
Closest atoms and distances in Å follow each position.
Positions (direct):
Cu  0.0025  0.0025  0.1674  9 Ag 2.72-2.87, 3 Cu 2.76-2.82
Cu  0.3344  0.3344  0.6110  8 Ag 2.70-2.78, 4 Cu 2.82-2.84
Cu  0.6656  0.6656  0.3890  8 Ag 2.70-2.78, 4 Cu 2.82-2.84
Cu  0.9975  0.9975  0.8326  9 Ag 2.72-2.87, 3 Cu 2.76-2.82
Ag  0.0000  0.0000  0.5000  8 Cu 2.76-2.78, 4 Ag 2.81
Ag  0.3340  0.3340  0.2841  7 Cu 2.70-2.79, 5 Ag 2.81-2.87
Ag  0.3348  0.3348  0.9376  6 Cu 2.70-2.87, 6 Ag 2.76-2.87
Ag  0.6652  0.6652  0.0624  6 Cu 2.70-2.87, 6 Ag 2.76-2.87
Ag  0.6660  0.6660  0.7159  7 Cu 2.70-2.79, 5 Ag 2.81-2.87



No. 2
Cu8Ag | PBE-GGA | optimized geometry

Values from the calculation:
ρ in kg/m3: 9095
Formation energy in eV/atom: 0.04
Space-group type: Immm
Polymorph energy (0 for the lowest one) in kJ/mol of atoms: 0.06

Cell lengths 12.1793, 12.1793, 12.1793 Å; angles 167.54, 163.22, 20.95 degrees
Closest atoms and distances in Å follow each position.
Positions (direct):
Cu  0.0648  0.0648  0.0000  7 Cu 2.53-2.64, 4 Ag 2.70
Cu  0.1704  0.1704  0.0000  12 Cu 2.53-2.64
Cu  0.2767  0.2767  0.0000  12 Cu 2.55-2.64
Cu  0.3832  0.3832  0.0000  11 Cu 2.54-2.64, 1 Ag 2.80
Cu  0.6168  0.6168  0.0000  11 Cu 2.54-2.64, 1 Ag 2.80
Cu  0.7233  0.7233  0.0000  12 Cu 2.55-2.64
Cu  0.8296  0.8296  0.0000  12 Cu 2.53-2.64
Cu  0.9352  0.9352  0.0000  7 Cu 2.53-2.64, 4 Ag 2.70
Ag  0.5000  0.5000  0.0000  2 Ag 2.64, 10 Cu 2.70-2.80



No. 3
CuAg | PBE-GGA | optimized geometry

Values from the calculation:
ρ in kg/m3: 9601
Formation energy in eV/atom: 0.11
Space-group type: C2/m

Cell lengths 9.7153, 9.7153, 5.5721 Å; angles 98.59, 98.59, 16.57 degrees
Closest atoms and distances in Å follow each position.
Positions (direct):
Cu  0.0000  0.0000  0.0000  6 Ag 2.68-2.79, 6 Cu 2.70-2.80
Cu  0.2025  0.2025  0.1047  6 Cu 2.70-2.80, 6 Ag 2.71-2.81
Cu  0.4006  0.4006  0.7088  5 Ag 2.59-2.76, 6 Cu 2.70-2.80
Cu  0.5994  0.5994  0.2912  5 Ag 2.59-2.76, 6 Cu 2.70-2.80
Cu  0.7975  0.7975  0.8953  6 Cu 2.70-2.80, 6 Ag 2.71-2.81
Ag  0.0000  0.0000  0.5000  6 Cu 2.76-2.79, 6 Ag 2.80-2.81
Ag  0.1975  0.1975  0.5979  6 Cu 2.73-2.81, 6 Ag 2.79-2.81
Ag  0.3999  0.3999  0.1736  5 Cu 2.59-2.71, 6 Ag 2.79-2.81
Ag  0.6001  0.6001  0.8264  5 Cu 2.59-2.71, 6 Ag 2.79-2.81
Ag  0.8025  0.8025  0.4021  6 Cu 2.73-2.81, 6 Ag 2.79-2.81



No. 4
CuAg | PBE-GGA | optimized geometry

Values from the calculation:
ρ in kg/m3: 9618
Formation energy in eV/atom: 0.10
Space-group type: C2/m

Cell lengths 4.7819, 4.7819, 8.6889 Å; angles 90.11, 90.11, 48.14 degrees
Closest atoms and distances in Å follow each position.
Positions (direct):
Cu  0.0000  0.0000  0.0000  6 Ag 2.67-2.74, 6 Cu 2.67-2.80
Cu  0.2012  0.2012  0.3996  9 Ag 2.72-2.85, 3 Cu 2.75-2.76
Cu  0.2909  0.2909  0.0946  6 Ag 2.64-2.77, 6 Cu 2.65-2.80
Cu  0.7091  0.7091  0.9054  6 Ag 2.64-2.77, 6 Cu 2.65-2.80
Cu  0.7988  0.7988  0.6004  9 Ag 2.72-2.85, 3 Cu 2.75-2.76
Ag  0.1087  0.1087  0.7044  7 Cu 2.72-2.85, 5 Ag 2.75-2.81
Ag  0.4048  0.4048  0.8138  8 Cu 2.64-2.84, 4 Ag 2.75-2.85
Ag  0.5000  0.5000  0.5000  6 Cu 2.75-2.77, 6 Ag 2.80-2.85
Ag  0.5952  0.5952  0.1862  8 Cu 2.64-2.84, 4 Ag 2.75-2.85
Ag  0.8913  0.8913  0.2956  7 Cu 2.72-2.85, 5 Ag 2.75-2.81



No. 5
Cu3Ag2 | PBE-GGA | optimized geometry

Values from the calculation:
ρ in kg/m3: 9424
Formation energy in eV/atom: 0.08
Space-group type: Cm
Polymorph energy (0 for the lowest one) in kJ/mol of atoms: 4.08

Cell lengths 4.7472, 4.7472, 8.6740 Å; angles 91.29, 91.29, 47.12 degrees
Closest atoms and distances in Å follow each position.
Positions (direct):
Cu  0.0000  0.0000  0.0000  9 Cu 2.51-2.74, 2 Ag 2.68
Cu  0.1146  0.1146  0.7362  8 Cu 2.52-2.75, 4 Ag 2.70-2.80
Cu  0.3026  0.3026  0.0892  6 Cu 2.51-2.73, 3 Ag 2.74-2.75
Cu  0.4202  0.4202  0.8272  10 Cu 2.51-2.76, 2 Ag 2.66
Cu  0.5143  0.5143  0.5405  3 Cu 2.64-2.68, 8 Ag 2.69-2.91
Cu  0.7087  0.7087  0.9138  10 Cu 2.55-2.76, 2 Ag 2.62
Ag  0.2021  0.2021  0.4275  4 Cu 2.70-2.87, 7 Ag 2.77-2.89
Ag  0.6034  0.6034  0.1948  6 Cu 2.62-2.75, 5 Ag 2.77-2.89
Ag  0.8191  0.8191  0.6356  9 Cu 2.62-2.76, 2 Ag 2.79
Ag  0.9034  0.9034  0.3096  7 Ag 2.77-2.94, 5 Cu 2.82-2.91



No. 6
Cu3Ag4 | PBE-GGA | optimized geometry

Values from the calculation:
ρ in kg/m3: 9582
Formation energy in eV/atom: 0.08
Space-group type: C2/m
Polymorph energy (0 for the lowest one) in kJ/mol of atoms: 3.91

Cell lengths 6.0007, 6.0007, 6.8687 Å; angles 108.70, 108.70, 27.50 degrees
Closest atoms and distances in Å follow each position.
Positions (direct):
Cu  0.0000  0.0000  0.0000  8 Ag 2.70-2.71, 4 Cu 2.85-2.97
Cu  0.1513  0.1513  0.4434  4 Cu 2.60-2.85, 7 Ag 2.71-2.81
Cu  0.8487  0.8487  0.5566  4 Cu 2.60-2.85, 7 Ag 2.71-2.81
Ag  0.2927  0.2927  0.8486  5 Cu 2.70-2.73, 7 Ag 2.85-2.95
Ag  0.4387  0.4387  0.2863  6 Cu 2.71-2.81, 6 Ag 2.81-2.93
Ag  0.5613  0.5613  0.7137  6 Cu 2.71-2.81, 6 Ag 2.81-2.93
Ag  0.7073  0.7073  0.1514  5 Cu 2.70-2.73, 7 Ag 2.85-2.95



No. 7
Cu3Ag2 | PBE-GGA | optimized geometry

Values from the calculation:
ρ in kg/m3: 9434
Formation energy in eV/atom: 0.09
Space-group type: C2/m
Polymorph energy (0 for the lowest one) in kJ/mol of atoms: 4.19

Cell lengths 5.8161, 5.8161, 9.1712 Å; angles 98.94, 98.94, 27.85 degrees
Closest atoms and distances in Å follow each position.
Positions (direct):
Cu  0.0616  0.0616  0.1657  5 Cu 2.52-2.80, 6 Ag 2.69-2.74
Cu  0.1605  0.1605  0.4467  8 Cu 2.52-2.80, 4 Ag 2.74-2.80
Cu  0.2560  0.2560  0.7439  7 Cu 2.52-2.80, 2 Ag 2.72
Cu  0.7440  0.7440  0.2561  7 Cu 2.52-2.80, 2 Ag 2.72
Cu  0.8395  0.8395  0.5533  8 Cu 2.52-2.80, 4 Ag 2.74-2.80
Cu  0.9384  0.9384  0.8343  5 Cu 2.52-2.80, 6 Ag 2.69-2.74
Ag  0.3594  0.3594  0.0494  7 Cu 2.69-2.86, 5 Ag 2.80-2.86
Ag  0.4475  0.4475  0.3535  8 Cu 2.70-2.80, 4 Ag 2.76-2.81
Ag  0.5525  0.5525  0.6465  8 Cu 2.70-2.80, 4 Ag 2.76-2.81
Ag  0.6406  0.6406  0.9506  7 Cu 2.69-2.86, 5 Ag 2.80-2.86



No. 8
Cu3Ag5 | PBE-GGA | optimized geometry

Values from the calculation:
ρ in kg/m3: 9623
Formation energy in eV/atom: 0.09
Space-group type: R3m
Polymorph energy (0 for the lowest one) in kJ/mol of atoms: 4.83

Cell lengths 18.3495, 18.3495, 18.3495 Å; angles 8.82, 8.82, 8.82 degrees
Closest atoms and distances in Å follow each position.
Positions (direct):
Cu  0.0000  0.0000  0.0000  6 Ag 2.73, 6 Cu 2.82
Cu  0.1271  0.1271  0.1271  9 Cu 2.53-2.82, 3 Ag 2.78
Cu  0.4958  0.4958  0.4958  9 Cu 2.53-2.82, 3 Ag 2.76
Ag  0.2486  0.2486  0.2486  12 Ag 2.82-2.98
Ag  0.3734  0.3734  0.3734  3 Cu 2.73, 9 Ag 2.82-3.00
Ag  0.6268  0.6268  0.6268  3 Cu 2.73, 9 Ag 2.82-2.95
Ag  0.7526  0.7526  0.7526  3 Cu 2.78, 9 Ag 2.82-3.00
Ag  0.8698  0.8698  0.8698  3 Cu 2.76, 9 Ag 2.82-2.98